i:
Density functional theory data (PBE-GGA) for an optimized crystal structure of Yb3SiO.

V: 209 Å³ per cell
Magnetic moment: 0.42 Bohr magnetons per cell
Theoretical density: 8.94 g/cm3

POSCAR file:
```
Yb3SiO
1.0
-3.318 3.362 4.688
3.318 -3.362 4.688
3.318 3.362 -4.688
Si O Yb
2 2 6
Direct
0.746 0.750 0.996
0.254 0.250 0.004
0.000 0.500 0.500
0.500 0.000 0.500
0.284 0.784 0.000
0.185 0.750 0.435
0.284 0.284 0.500
0.815 0.250 0.565
0.716 0.216 0.000
0.716 0.716 0.500
```


ii:
Density functional theory data (PBE-GGA) for an optimized crystal structure of Yb3SiO.

V: 420 Å³ per cell
Magnetic moment: 2.49 Bohr magnetons per cell
Theoretical density: 8.91 g/cm3

POSCAR file:
```
Yb3SiO
1.0
6.729 0.000 0.000
0.000 6.585 0.000
0.000 0.000 9.480
Yb Si O
12 4 4
Direct
0.012 0.438 0.250
0.294 0.295 0.968
0.488 0.938 0.750
0.706 0.705 0.032
0.706 0.705 0.468
0.988 0.562 0.750
0.294 0.295 0.532
0.206 0.795 0.468
0.206 0.795 0.032
0.512 0.062 0.250
0.794 0.205 0.968
0.794 0.205 0.532
0.458 0.513 0.250
0.542 0.487 0.750
0.958 0.987 0.250
0.042 0.013 0.750
0.000 0.500 0.500
0.500 0.000 0.500
0.500 0.000 0.000
0.000 0.500 0.000
```


It is ii that is most stable; the runner-up trails by 1.2 kJ/mol of atoms.


i:
Density functional theory data (PBE-GGA) for an optimized crystal structure of ZnSiO2.

V: 109 Å³ per cell
Magnetic moment: 0.00 Bohr magnetons per cell
Theoretical density: 3.83 g/cm3

POSCAR file:
```
ZnSiO2
1.0
5.359 0.000 0.000
0.000 5.359 0.000
2.679 2.679 3.789
Si Zn O
2 2 4
Direct
0.500 0.500 0.000
0.250 0.750 0.500
0.750 0.250 0.500
0.000 0.000 0.000
0.375 0.625 0.250
0.875 0.625 0.750
0.375 0.125 0.250
0.375 0.625 0.750
```


ii:
Density functional theory data (PBE-GGA) for an optimized crystal structure of ZnSiO2.

V: 43 Å³ per cell
Magnetic moment: 0.00 Bohr magnetons per cell
Theoretical density: 4.81 g/cm3

POSCAR file:
```
ZnSiO2
1.0
1.711 0.000 5.695
-0.855 1.482 5.695
-0.855 -1.482 5.695
Zn O Si
1 2 1
Direct
0.500 0.500 0.500
0.902 0.902 0.902
0.098 0.098 0.098
0.000 0.000 0.000
```


iii:
Density functional theory data (PBE-GGA) for an optimized crystal structure of ZnSiO2.

V: 48 Å³ per cell
Magnetic moment: 0.00 Bohr magnetons per cell
Theoretical density: 4.38 g/cm3

POSCAR file:
```
ZnSiO2
1.0
-3.962 1.145 6.683
-1.997 -0.424 7.583
-1.609 2.209 7.362
O Si Zn
2 1 1
Direct
0.127 0.127 0.127
0.873 0.873 0.873
0.500 0.500 0.500
0.000 0.000 0.000
```


It is iii that is most stable; the runner-up trails by 3.3 kJ/mol of atoms.